A geometry-optimized KMn2Cu structure. Source: the Alexandria database, functional PBE.

Output
symmetry = Pm, No. 6
DFT formation energy = 643 meV per atom
N(E_F) = 0.6270 states/eV per atom
total energy = -5.24 eV/atom
energy relative to the lowest polymorph listed for this composition = 0.00 kcal/mol of atoms
volume = 78.94 Å³ per cell

Cell lengths 3.0910, 3.1055, 8.2238 Å; angles 90.00, 90.09, 90.00 degrees
Last column: nearest neighbours and their distance in Å.
Positions (direct):
1 K 0.0000 0.0000 0.0000  4 K 3.09-3.11, 4 Cu 3.37-3.38
2 Mn 0.5003 0.5000 0.6516  4 Mn 2.68, 1 Cu 2.80
3 Mn 0.9993 0.0000 0.4636  4 Cu 2.52, 4 Mn 2.68
4 Cu 0.4987 0.5000 0.3116  5 Mn 2.52-2.80